Material: YScSi2
Method: DFT, meta-GGA SCAN
State: PBEsol geometry

Cell: 4.7949 4.7949 4.7949 Å, 60.00 60.00 60.00°
Element x y z (fractional)
Y1 0.0000 0.0000 0.0000
Sc1 0.5000 0.5000 0.5000
Si1 0.2500 0.2500 0.2500
Si2 0.7500 0.7500 0.7500

- total moment (μB/f.u.) = 0.000
- E_form (uncorrected) (eV per formula unit) = -1.50
- ΔE to the lowest computed polymorph (meV/atom) = 476